PmCdOs | GGA-PBE | relaxed

a = 5.763 Å, b = 5.763 Å, c = 7.347 Å
α = 123.65°, β = 123.65°, γ = 45.86°
Atoms (fractional coordinates):
Pm (0.075, 0.075, 0.336)
Pm (0.925, 0.925, 0.664)
Cd (0.321, 0.321, 0.911)
Cd (0.679, 0.679, 0.089)
Os (0.368, 0.368, 0.336)
Os (0.632, 0.632, 0.664)

total moment	0.00	μB per cell
formation energy from the elements	-72	meV/atom
SG	No. 12


Pm3CdOs | GGA-PBE | relaxed

a = 9.107 Å, b = 9.107 Å, c = 7.353 Å
α = 90.00°, β = 90.00°, γ = 77.55°
Atoms (fractional coordinates):
Pm (0.051, 0.675, 0.401)
Pm (0.059, 0.941, 0.779)
Pm (0.175, 0.551, 0.901)
Pm (0.325, 0.949, 0.401)
Pm (0.441, 0.559, 0.279)
Pm (0.449, 0.825, 0.901)
Pm (0.551, 0.175, 0.099)
Pm (0.559, 0.441, 0.721)
Pm (0.675, 0.051, 0.599)
Pm (0.825, 0.449, 0.099)
Pm (0.941, 0.059, 0.221)
Pm (0.949, 0.325, 0.599)
Cd (0.191, 0.309, 0.250)
Cd (0.309, 0.191, 0.750)
Cd (0.691, 0.809, 0.250)
Cd (0.809, 0.691, 0.750)
Os (0.196, 0.804, 0.119)
Os (0.304, 0.696, 0.619)
Os (0.696, 0.304, 0.381)
Os (0.804, 0.196, 0.881)

total moment	0.00	μB per cell
energy relative to the lowest polymorph listed for this composition	115	meV per atom
formation energy from the elements	-95	meV/atom
SG	No. 64


Pm3CdOs | GGA-PBE | relaxed

a = 9.555 Å, b = 8.777 Å, c = 6.042 Å
α = 77.89°, β = 63.92°, γ = 38.19°
Atoms (fractional coordinates):
Pm (0.198, 0.583, 0.417)
Pm (0.201, 0.201, 0.799)
Pm (0.417, 0.802, 0.198)
Pm (0.583, 0.198, 0.802)
Pm (0.799, 0.799, 0.201)
Pm (0.802, 0.417, 0.583)
Cd (0.206, 0.794, 0.794)
Cd (0.794, 0.206, 0.206)
Os (0.250, 0.250, 0.250)
Os (0.750, 0.750, 0.750)

total moment	0.00	μB per cell
energy relative to the lowest polymorph listed for this composition	0	meV per atom
formation energy from the elements	-210	meV/atom
SG	No. 69


Pm6CdOs2 | GGA-PBE | relaxed

a = 8.714 Å, b = 8.714 Å, c = 8.714 Å
α = 112.46°, β = 111.34°, γ = 104.71°
Atoms (fractional coordinates):
Pm (0.035, 0.240, 0.795)
Pm (0.185, 0.280, 0.464)
Pm (0.185, 0.720, 0.905)
Pm (0.328, 0.014, 0.686)
Pm (0.328, 0.641, 0.314)
Pm (0.446, 0.240, 0.205)
Pm (0.554, 0.760, 0.795)
Pm (0.672, 0.359, 0.686)
Pm (0.672, 0.986, 0.314)
Pm (0.815, 0.280, 0.095)
Pm (0.815, 0.720, 0.536)
Pm (0.965, 0.760, 0.205)
Cd (0.000, 0.000, 0.000)
Cd (0.500, 0.500, 0.000)
Os (0.117, 0.617, 0.500)
Os (0.327, 0.000, 0.327)
Os (0.673, 0.000, 0.673)
Os (0.883, 0.383, 0.500)

total moment	0.00	μB per cell
formation energy from the elements	-169	meV/atom
SG	No. 71


Pm5Cd2Os2 | GGA-PBE | relaxed

a = 9.148 Å, b = 9.148 Å, c = 7.815 Å
α = 90.00°, β = 90.00°, γ = 49.40°
Atoms (fractional coordinates):
Pm (0.000, 0.000, 0.000)
Pm (0.063, 0.696, 0.684)
Pm (0.196, 0.563, 0.184)
Pm (0.304, 0.937, 0.684)
Pm (0.437, 0.804, 0.184)
Pm (0.500, 0.500, 0.500)
Pm (0.563, 0.196, 0.816)
Pm (0.696, 0.063, 0.316)
Pm (0.804, 0.437, 0.816)
Pm (0.937, 0.304, 0.316)
Cd (0.223, 0.223, 0.000)
Cd (0.277, 0.277, 0.500)
Cd (0.723, 0.723, 0.500)
Cd (0.777, 0.777, 0.000)
Os (0.112, 0.888, 0.383)
Os (0.388, 0.612, 0.883)
Os (0.612, 0.388, 0.117)
Os (0.888, 0.112, 0.617)

total moment	0.00	μB per cell
formation energy from the elements	-177	meV/atom
SG	No. 64


Pm3CdOs | GGA-PBE | relaxed

a = 5.511 Å, b = 5.511 Å, c = 5.511 Å
α = 90.00°, β = 90.00°, γ = 90.00°
Atoms (fractional coordinates):
Pm (0.000, 0.000, 0.500)
Pm (0.000, 0.500, 0.000)
Pm (0.500, 0.000, 0.000)
Cd (0.500, 0.500, 0.500)
Os (0.000, 0.000, 0.000)

total moment	0.00	μB per cell
energy relative to the lowest polymorph listed for this composition	232	meV per atom
formation energy from the elements	21	meV/atom
SG	No. 221